Nb2VHAu: relaxed, PBE. Values from VASP.

Values from the calculation:
* final energy: -36.31 eV/cell
* crystal system: tetragonal

```
&SYSTEM
  ibrav = 0, nat = 5, ntyp = 4
/
ATOMIC_SPECIES
Nb 92.91 Nb.upf
V 50.94 V.upf
H 1.01 H.upf
Au 196.97 Au.upf
ATOMIC_POSITIONS crystal
Nb 0.000 0.500 0.000
Nb 0.500 0.000 0.000
V 0.000 0.000 0.500
H 0.000 0.000 0.000
Au 0.500 0.500 0.500
CELL_PARAMETERS angstrom
4.202 0.000 0.000
0.000 4.202 0.000
0.000 0.000 3.928
```



ZrNb2HAu: relaxed, PBE. Values from VASP.

Values from the calculation:
* relative energy among the computed polymorphs: 92 meV per atom
* crystal system: tetragonal

```
&SYSTEM
  ibrav = 0, nat = 5, ntyp = 4
/
ATOMIC_SPECIES
Zr 91.22 Zr.upf
Nb 92.91 Nb.upf
H 1.01 H.upf
Au 196.97 Au.upf
ATOMIC_POSITIONS crystal
Zr 0.000 0.000 0.000
Nb 0.000 0.500 0.500
Nb 0.500 0.000 0.500
H 0.500 0.500 0.500
Au 0.500 0.500 0.000
CELL_PARAMETERS angstrom
4.069 0.000 0.000
0.000 4.069 0.000
0.000 0.000 4.764
```



ZrNb2HAu: relaxed, PBE. Values from VASP.

Values from the calculation:
* relative energy among the computed polymorphs: 0 meV per atom
* crystal system: tetragonal

```
&SYSTEM
  ibrav = 0, nat = 5, ntyp = 4
/
ATOMIC_SPECIES
Zr 91.22 Zr.upf
Nb 92.91 Nb.upf
H 1.01 H.upf
Au 196.97 Au.upf
ATOMIC_POSITIONS crystal
Zr 0.000 0.000 0.000
Nb 0.000 0.500 0.500
Nb 0.500 0.000 0.500
H 0.000 0.000 0.500
Au 0.500 0.500 0.000
CELL_PARAMETERS angstrom
4.124 0.000 0.000
0.000 4.124 0.000
0.000 0.000 4.583
```



ZrNbH2Au: relaxed, PBE. Values from VASP.

Values from the calculation:
* final energy: -26.28 eV/cell
* crystal system: tetragonal

```
&SYSTEM
  ibrav = 0, nat = 5, ntyp = 4
/
ATOMIC_SPECIES
Zr 91.22 Zr.upf
Nb 92.91 Nb.upf
H 1.01 H.upf
Au 196.97 Au.upf
ATOMIC_POSITIONS crystal
Zr 0.000 0.000 0.000
Nb 0.000 0.000 0.500
H 0.000 0.500 0.500
H 0.500 0.000 0.500
Au 0.500 0.500 0.000
CELL_PARAMETERS angstrom
3.903 0.000 0.000
0.000 3.903 0.000
0.000 0.000 5.275
```